# OsW2Se

A relaxed OsW2Se crystal (PBE, Alexandria via LeMat-Bulk).

Output
- formation energy from raw total energies (eV per atom) = 0.44
- density of states at the Fermi level (states/eV per cell) = 2.80

Cell lengths 2.8954, 4.1133, 5.4472 Å; angles 90.00, 105.37, 90.00 degrees
Space group Pm (No. 6)
One atom of each set of equivalent atoms:
Os  0.0000  0.0000  0.0000 x1
W  0.3813  0.5000  0.7638 x1
W  0.7389  0.0000  0.4822 x1
Se  0.1392  0.5000  0.2812 x1

***

# OsWSe2

A relaxed OsWSe2 crystal (PBE, Alexandria via LeMat-Bulk).

Output
- formation energy from raw total energies (eV per atom) = 0.28
- energy relative to the lowest polymorph listed for this composition (eV/atom) = 0.1776
- density of states at the Fermi level (states/eV per cell) = 2.53

Cell lengths 3.1475, 4.1576, 6.5761 Å; angles 90.00, 96.48, 90.00 degrees
Space group Pm (No. 6)
One atom of each set of equivalent atoms:
Os  0.0000  0.0000  0.0000 x1
W  0.4606  0.5000  0.8933 x1
Se  0.6081  0.0000  0.6545 x1
Se  0.9964  0.5000  0.2133 x1